An optimized crystal structure of Tb2GaGe2Ir5, computed with PBE-GGA.

Summary:
- size of the total moment (μB per cell) = 0.0
- symmetry = P4/mbm, No. 127
- formation enthalpy at 0 K (eV per atom) = -0.611
- crystal system = tetragonal

Lattice parameters (Å, degrees): 9.721 9.721 3.623 90.00 90.00 90.00
Fractional positions:
Tb: 0.174 0.326 0.000
Tb: 0.326 0.826 0.000
Tb: 0.674 0.174 0.000
Tb: 0.826 0.674 0.000
Ga: 0.000 0.000 0.000
Ga: 0.500 0.500 0.000
Ge: 0.126 0.626 0.000
Ge: 0.374 0.126 0.000
Ge: 0.626 0.874 0.000
Ge: 0.874 0.374 0.000
Ir: 0.000 0.500 0.500
Ir: 0.064 0.795 0.500
Ir: 0.205 0.064 0.500
Ir: 0.295 0.564 0.500
Ir: 0.436 0.295 0.500
Ir: 0.500 0.000 0.500
Ir: 0.564 0.705 0.500
Ir: 0.705 0.436 0.500
Ir: 0.795 0.936 0.500
Ir: 0.936 0.205 0.500